(1)
{"formula": "Zn3NiSn", "functional": "GGA-PBEsol", "state": "optimized geometry", "vol_a3_per_atom": 24.562, "final_energy_ev_per_atom": -1.8438, "delta_e_f_ev_per_atom": 1.189, "lattice_angstrom": [[4.971, 0.000, 0.000], [0.000, 4.971, 0.000], [0.000, 0.000, 4.971]], "species": ["Zn", "Zn", "Zn", "Sn", "Ni"], "frac_coords": [[0.000, 0.500, 0.000], [0.000, 0.000, 0.500], [0.500, 0.000, 0.000], [0.000, 0.000, 0.000], [0.500, 0.500, 0.500]]}



(2)
{"formula": "KIrPb2Cl", "functional": "GGA-PBEsol", "state": "optimized geometry", "vol_a3_per_atom": 32.690, "final_energy_ev_per_atom": -4.3372, "lattice_angstrom": [[5.091, 0.000, 0.000], [0.000, 5.091, 0.000], [0.000, 0.000, 6.305]], "species": ["Ir", "Pb", "Pb", "Cl", "K"], "frac_coords": [[0.000, 0.000, 0.000], [0.500, 0.000, 0.000], [0.000, 0.500, 0.000], [0.500, 0.500, 0.500], [0.000, 0.000, 0.500]]}



(3)
{"formula": "Sc2CoPt", "functional": "GGA-PBEsol", "state": "optimized geometry", "vol_a3_per_atom": 16.024, "final_energy_ev_per_atom": -7.7570, "delta_e_f_ev_per_atom": -0.779, "lattice_angstrom": [[4.492, 0.000, 0.000], [2.246, 3.890, 0.000], [2.246, 1.297, 3.668]], "species": ["Sc", "Sc", "Co", "Pt"], "frac_coords": [[0.750, 0.750, 0.750], [0.250, 0.250, 0.250], [0.500, 0.500, 0.500], [0.000, 0.000, 0.000]]}



Which formula does entry 3 have? Sc2CoPt



Which formula does entry 2 have? KIrPb2Cl